TaMnBe2 after structural relaxation. Source: the Alexandria database, functional GGA-PBE.

Output
Space-group type ... I-4m2
Polymorph energy (0 for the lowest one) ... 0.206 eV/atom
DFT formation energy ... 84.2 meV/atom
Calculated volume ... 47 Å³/cell

Cell: 4.5225 4.5225 4.5225 Å, 134.07 134.07 66.98°
Closest atoms and distances in Å follow each position.
Atoms (fractional coordinates):
Mn  0.5000  0.5000  0.0000  8 Be 2.50-2.58, 4 Ta 2.58
Ta  0.7500  0.2500  0.5000  8 Be 2.50-2.58, 4 Mn 2.58
Be  0.0000  0.0000  0.0000  4 Mn 2.50, 4 Ta 2.58, 4 Be 2.58
Be  0.2500  0.7500  0.5000  4 Ta 2.50, 4 Be 2.58, 4 Mn 2.58